Entry 1:
Computed, not measured: a relaxed structure of Ca2LuN at the PBE-GGA level of DFT.

Unit cell a=3.4994 b=3.4994 c=29.2782 alpha=90.00 beta=90.00 gamma=120.00
Element x y z (fractional)
Ca: 0.0000 0.0000 0.1230
Ca: 0.0000 0.0000 0.8770
Ca: 0.3333 0.6667 0.5436
Ca: 0.3333 0.6667 0.7897
Ca: 0.6667 0.3333 0.2103
Ca: 0.6667 0.3333 0.4564
Lu: 0.0000 0.0000 0.0000
Lu: 0.3333 0.6667 0.6667
Lu: 0.6667 0.3333 0.3333
N: 0.0000 0.0000 0.5000
N: 0.3333 0.6667 0.1667
N: 0.6667 0.3333 0.8333

Calculated values
The space-group type is R-3m (166). As for the uncorrected formation energy: -1.6 eV/f.u.

***

Entry 2:
Computed, not measured: a relaxed structure of Na2CaLu at the PBE-GGA level of DFT.

Unit cell a=3.5309 b=3.5309 c=40.1884 alpha=90.00 beta=90.00 gamma=120.00
Element x y z (fractional)
Na: 0.0000 0.0000 0.0847
Na: 0.0000 0.0000 0.9153
Na: 0.3333 0.6667 0.5819
Na: 0.3333 0.6667 0.7514
Na: 0.6667 0.3333 0.2486
Na: 0.6667 0.3333 0.4181
Ca: 0.0000 0.0000 0.5000
Ca: 0.3333 0.6667 0.1667
Ca: 0.6667 0.3333 0.8333
Lu: 0.0000 0.0000 0.0000
Lu: 0.3333 0.6667 0.6667
Lu: 0.6667 0.3333 0.3333

Calculated values
The space-group type is R-3m (166). Its formation enthalpy at 0 K is 0.310 eV/atom.

***

Entry 3:
Computed, not measured: a relaxed structure of NaCaLu at the PBE-GGA level of DFT.

Unit cell a=3.6353 b=3.6353 c=9.2326 alpha=90.00 beta=90.00 gamma=120.00
Element x y z (fractional)
Na: 0.0000 0.0000 0.0000
Ca: 0.6667 0.3333 0.3549
Lu: 0.3333 0.6667 0.6731

Calculated values
The space-group type is P3m1 (156). Its formation enthalpy at 0 K is 0.204 eV/atom.

***

Entry 4:
Computed, not measured: a relaxed structure of NaCa2Lu at the PBE-GGA level of DFT.

Unit cell a=6.1282 b=6.1282 c=3.8632 alpha=90.00 beta=90.00 gamma=90.00
Element x y z (fractional)
Na: 0.0000 0.0000 0.0000
Ca: 0.0000 0.5000 0.5000
Ca: 0.5000 0.0000 0.5000
Lu: 0.5000 0.5000 0.0000

Calculated values
The space-group type is P4/mmm (123). Its formation enthalpy at 0 K is 0.189 eV/atom.

***

Entry 5:
Computed, not measured: a relaxed structure of NaCa2Lu at the PBE-GGA level of DFT.

Unit cell a=3.6533 b=3.6533 c=11.0825 alpha=90.00 beta=90.00 gamma=90.00
Element x y z (fractional)
Na: 0.0000 0.0000 0.0000
Ca: 0.5000 0.5000 0.2634
Ca: 0.5000 0.5000 0.7366
Lu: 0.0000 0.0000 0.5000

Calculated values
The space-group type is P4/mmm (123). Its formation enthalpy at 0 K is 0.118 eV/atom.

***

Entry 6:
Computed, not measured: a relaxed structure of NaCaLuPb at the PBE-GGA level of DFT.

Unit cell a=7.7597 b=7.7597 c=7.7597 alpha=90.00 beta=90.00 gamma=90.00
Element x y z (fractional)
Na: 0.0000 0.0000 0.0000
Na: 0.0000 0.5000 0.5000
Na: 0.5000 0.0000 0.5000
Na: 0.5000 0.5000 0.0000
Ca: 0.2500 0.2500 0.7500
Ca: 0.2500 0.7500 0.2500
Ca: 0.7500 0.2500 0.2500
Ca: 0.7500 0.7500 0.7500
Lu: 0.2500 0.2500 0.2500
Lu: 0.2500 0.7500 0.7500
Lu: 0.7500 0.2500 0.7500
Lu: 0.7500 0.7500 0.2500
Pb: 0.0000 0.0000 0.5000
Pb: 0.0000 0.5000 0.0000
Pb: 0.5000 0.0000 0.0000
Pb: 0.5000 0.5000 0.5000

Calculated values
The space-group type is F-43m (216). Its formation enthalpy at 0 K is -0.149 eV/atom.

***

Entry 7:
Computed, not measured: a relaxed structure of NaCaLuTl at the PBE-GGA level of DFT.

Unit cell a=7.6955 b=7.6955 c=7.6955 alpha=90.00 beta=90.00 gamma=90.00
Element x y z (fractional)
Na: 0.0000 0.0000 0.0000
Na: 0.0000 0.5000 0.5000
Na: 0.5000 0.0000 0.5000
Na: 0.5000 0.5000 0.0000
Ca: 0.2500 0.2500 0.2500
Ca: 0.2500 0.7500 0.7500
Ca: 0.7500 0.2500 0.7500
Ca: 0.7500 0.7500 0.2500
Lu: 0.2500 0.2500 0.7500
Lu: 0.2500 0.7500 0.2500
Lu: 0.7500 0.2500 0.2500
Lu: 0.7500 0.7500 0.7500
Tl: 0.0000 0.0000 0.5000
Tl: 0.0000 0.5000 0.0000
Tl: 0.5000 0.0000 0.0000
Tl: 0.5000 0.5000 0.5000

Calculated values
The space-group type is F-43m (216). Its formation enthalpy at 0 K is -0.076 eV/atom.

***

Entry 8:
Computed, not measured: a relaxed structure of CaLu2Nb at the PBE-GGA level of DFT.

Unit cell a=3.2775 b=3.2775 c=35.6589 alpha=90.00 beta=90.00 gamma=120.00
Element x y z (fractional)
Ca: 0.0000 0.0000 0.0000
Ca: 0.3333 0.6667 0.6667
Ca: 0.6667 0.3333 0.3333
Lu: 0.0000 0.0000 0.4198
Lu: 0.0000 0.0000 0.5802
Lu: 0.3333 0.6667 0.0865
Lu: 0.3333 0.6667 0.2469
Lu: 0.6667 0.3333 0.7531
Lu: 0.6667 0.3333 0.9135
Nb: 0.0000 0.0000 0.5000
Nb: 0.3333 0.6667 0.1667
Nb: 0.6667 0.3333 0.8333

Calculated values
The space-group type is R-3m (166). Its formation enthalpy at 0 K is 0.631 eV/atom.

***

Entry 9:
Computed, not measured: a relaxed structure of CaNdLu at the PBE-GGA level of DFT.

Unit cell a=3.6328 b=3.6328 c=9.1004 alpha=90.00 beta=90.00 gamma=120.00
Element x y z (fractional)
Ca: 0.0000 0.0000 0.0000
Nd: 0.3333 0.6667 0.6412
Lu: 0.6667 0.3333 0.3373

Calculated values
The space-group type is P3m1 (156). Its formation enthalpy at 0 K is 0.070 eV/atom.

***

Entry 10:
Computed, not measured: a relaxed structure of CaNdLu at the PBE-GGA level of DFT.

Unit cell a=3.6605 b=3.6605 c=15.5779 alpha=90.00 beta=90.00 gamma=90.00
Element x y z (fractional)
Ca: 0.0000 0.0000 0.0000
Ca: 0.5000 0.5000 0.5000
Nd: 0.0000 0.0000 0.6803
Nd: 0.5000 0.5000 0.1803
Lu: 0.0000 0.0000 0.3281
Lu: 0.5000 0.5000 0.8281

Calculated values
The space-group type is I4mm (107). Its formation enthalpy at 0 K is 0.066 eV/atom.

***

Entry 11:
Computed, not measured: a relaxed structure of CaPrNdLu at the PBE-GGA level of DFT.

Unit cell a=8.2364 b=8.2364 c=8.2364 alpha=90.00 beta=90.00 gamma=90.00
Element x y z (fractional)
Ca: 0.0000 0.0000 0.0000
Ca: 0.0000 0.5000 0.5000
Ca: 0.5000 0.0000 0.5000
Ca: 0.5000 0.5000 0.0000
Pr: 0.2500 0.2500 0.7500
Pr: 0.2500 0.7500 0.2500
Pr: 0.7500 0.2500 0.2500
Pr: 0.7500 0.7500 0.7500
Nd: 0.2500 0.2500 0.2500
Nd: 0.2500 0.7500 0.7500
Nd: 0.7500 0.2500 0.7500
Nd: 0.7500 0.7500 0.2500
Lu: 0.0000 0.0000 0.5000
Lu: 0.0000 0.5000 0.0000
Lu: 0.5000 0.0000 0.0000
Lu: 0.5000 0.5000 0.5000

Calculated values
The space-group type is F-43m (216). Its formation enthalpy at 0 K is 0.104 eV/atom.

***

Entry 12:
Computed, not measured: a relaxed structure of CaNdLuSc at the PBE-GGA level of DFT.

Unit cell a=7.9573 b=7.9573 c=7.9573 alpha=90.00 beta=90.00 gamma=90.00
Element x y z (fractional)
Ca: 0.0000 0.0000 0.0000
Ca: 0.0000 0.5000 0.5000
Ca: 0.5000 0.0000 0.5000
Ca: 0.5000 0.5000 0.0000
Nd: 0.2500 0.2500 0.7500
Nd: 0.2500 0.7500 0.2500
Nd: 0.7500 0.2500 0.2500
Nd: 0.7500 0.7500 0.7500
Lu: 0.2500 0.2500 0.2500
Lu: 0.2500 0.7500 0.7500
Lu: 0.7500 0.2500 0.7500
Lu: 0.7500 0.7500 0.2500
Sc: 0.0000 0.0000 0.5000
Sc: 0.0000 0.5000 0.0000
Sc: 0.5000 0.0000 0.0000
Sc: 0.5000 0.5000 0.5000

Calculated values
The space-group type is F-43m (216). Its formation enthalpy at 0 K is 0.163 eV/atom.

***

Number 9 is which compound? CaNdLu